Below is a relaxed structure of LiCa2Hg4, with properties calculated at the GGA-PBE level.

```
LiCa2Hg4
1.0
-4.7944 -1.7935 -0.2870
1.2763 -3.9030 3.0698
0.0129 6.6305 4.1435
Li Ca Hg
1 2 4
Direct
0.0000 0.0000 0.0000 Li
0.7432 0.7432 0.4864 Ca
0.2568 0.2568 0.5136 Ca
0.3944 0.8944 0.7888 Hg
0.8944 0.3944 0.7888 Hg
0.6056 0.1056 0.2112 Hg
0.1056 0.6056 0.2112 Hg
```

Results
Distance to the lowest polymorph of the same formula, eV/atom: 0.000
Energy relative to the elements, eV per atom: -0.36
Spin magnetization, μB per formula unit: 0.0
V, Å³ per atom: 26.01
Energy, eV for the cell shown: -9.66

---

Below is a relaxed structure of PrTmCdPb, with properties calculated at the GGA-PBE level.

```
PrTmCdPb
1.0
-1.3950 3.7441 3.6526
-4.9076 2.2766 -0.1964
-3.6771 -1.1626 3.7991
Pb Pr Tm Cd
1 1 1 1
Direct
0.5000 0.5000 0.5000 Pb
0.7500 0.7500 0.7500 Pr
0.2500 0.2500 0.2500 Tm
0.0000 0.0000 0.0000 Cd
```

Results
Energy relative to the elements, eV per atom: -0.38
Spin magnetization, μB per formula unit: 0.0
V, Å³ per atom: 28.05
Energy, eV for the cell shown: -15.39

---

Below is a relaxed structure of KTl2Ru, with properties calculated at the GGA-PBE level.

```
KTl2Ru
1.0
6.7452 0.8624 0.5410
2.6103 6.2791 -0.5410
-3.6905 -4.8640 3.0422
K Ru Tl
1 1 2
Direct
0.2500 0.7500 0.5000 K
0.7500 0.2500 0.5000 Ru
0.9460 0.9460 0.0000 Tl
0.5540 0.5540 0.0000 Tl
```

Results
Energy relative to the elements, eV per atom: 0.50
Spin magnetization, μB per formula unit: 0.4
V, Å³ per atom: 27.91
Energy, eV for the cell shown: -13.10

---

Below is a relaxed structure of IrPbCl2, with properties calculated at the GGA-PBE level.

```
IrPbCl2
1.0
-1.5636 0.5689 2.7174
0.0332 -3.9726 0.8507
5.7173 0.7199 3.1389
Pb Ir Cl
1 1 2
Direct
0.5000 0.5000 0.7500 Pb
0.5000 0.5000 0.2500 Ir
0.0000 0.0000 0.0212 Cl
0.0000 0.0000 0.4788 Cl
```

Results
Distance to the lowest polymorph of the same formula, eV/atom: 0.724
Spin magnetization, μB per formula unit: 1.3
Uncorrected formation energy, eV per atom: 0.62
V, Å³ per atom: 21.24
Energy, eV for the cell shown: -13.77

---

Below is a relaxed structure of La2MgZnSe5, with properties calculated at the GGA-PBE level.

```
La2MgZnSe5
1.0
4.1321 0.0000 0.0000
-2.0660 8.8379 0.0000
0.0000 0.0000 12.1588
La Mg Zn Se
4 2 2 10
Direct
0.8682 0.7363 0.8049 La
0.1148 0.2295 0.6887 La
0.1318 0.2637 0.3049 La
0.8852 0.7705 0.1887 La
0.7962 0.5924 0.5135 Mg
0.2038 0.4076 0.0136 Mg
0.5578 0.1156 0.9557 Zn
0.4422 0.8844 0.4557 Zn
0.3549 0.7098 0.0013 Se
0.6887 0.3774 0.8569 Se
0.4968 0.9937 0.7761 Se
0.2879 0.5757 0.6648 Se
0.9517 0.9034 0.5621 Se
0.6451 0.2902 0.5013 Se
0.3113 0.6226 0.3569 Se
0.5032 0.0063 0.2761 Se
0.7121 0.4243 0.1648 Se
0.0483 0.0966 0.0621 Se
```

Results
Spin magnetization, μB per formula unit: 0.0
Uncorrected formation energy, eV per atom: -1.55
V, Å³ per atom: 24.67
Energy, eV for the cell shown: -88.27

---

Below is a relaxed structure of LaAgH8Pt2, with properties calculated at the GGA-PBE level.

```
LaAgH8Pt2
1.0
4.9304 0.0000 0.0000
2.4652 4.2698 0.0000
2.4652 1.4233 5.8075
La Ag H Pt
1 1 8 2
Direct
0.5000 0.5000 0.5000 La
0.0000 0.0000 0.0000 Ag
0.1748 0.1748 0.4757 H
0.6121 0.2808 0.1826 H
0.8252 0.8252 0.5243 H
0.9245 0.6121 0.1826 H
0.0755 0.3879 0.8174 H
0.2808 0.9245 0.1826 H
0.7192 0.0755 0.8174 H
0.3879 0.7192 0.8174 H
0.2673 0.2673 0.1980 Pt
0.7327 0.7327 0.8020 Pt
```

Results
Spin magnetization, μB per formula unit: 0.0
V, Å³ per atom: 10.19
Energy, eV for the cell shown: -47.82

---

Below is a relaxed structure of Tb4ErTe5, with properties calculated at the GGA-PBE level.

```
Tb4ErTe5
1.0
4.3007 0.0000 0.0000
0.0000 4.3007 0.0000
-2.1504 -2.1504 15.9322
Tb Er Te
4 1 5
Direct
0.3912 0.3912 0.7824 Tb
0.8113 0.8113 0.6226 Tb
0.1887 0.1887 0.3774 Tb
0.6088 0.6088 0.2176 Tb
0.0000 0.0000 0.0000 Er
0.0936 0.0936 0.1872 Te
0.5000 0.5000 0.0000 Te
0.9064 0.9064 0.8128 Te
0.2928 0.2928 0.5856 Te
0.7072 0.7072 0.4144 Te
```

Results
Distance to the lowest polymorph of the same formula, eV/atom: 0.000
Spin magnetization, μB per formula unit: 0.0
Uncorrected formation energy, eV per atom: -1.29
V, Å³ per atom: 29.47
Energy, eV for the cell shown: -51.73

---

Below is a relaxed structure of ReAuSe2, with properties calculated at the GGA-PBE level.

```
ReAuSe2
1.0
-2.9721 1.0363 -0.8415
0.8060 -1.2507 -4.3870
-1.7184 -4.2100 0.8845
Au Re Se
1 1 2
Direct
0.5000 0.5000 0.0000 Au
0.5000 0.0000 0.5000 Re
0.0000 0.0000 0.0000 Se
0.0000 0.5000 0.5000 Se
```

Results
Distance to the lowest polymorph of the same formula, eV/atom: 0.701
Spin magnetization, μB per formula unit: 1.0
Uncorrected formation energy, eV per atom: 0.81
V, Å³ per atom: 17.48
Energy, eV for the cell shown: -19.44

---

Below is a relaxed structure of Mn2BeTc, with properties calculated at the GGA-PBE level.

```
Mn2BeTc
1.0
-1.9344 -3.2184 -0.9476
2.0666 -1.3914 0.5070
-0.5652 -1.0347 4.6682
Be Mn Tc
1 2 1
Direct
0.5000 0.8021 0.7525 Be
0.0000 0.9871 0.9959 Mn
0.5000 0.2433 0.2342 Mn
0.0000 0.4675 0.5174 Tc
```

Results
Energy relative to the elements, eV per atom: 0.02
Spin magnetization, μB per formula unit: 0.2
V, Å³ per atom: 11.57
Energy, eV for the cell shown: -32.35

---

Below is a relaxed structure of Er6TeC2Se3, with properties calculated at the GGA-PBE level.

```
Er6TeC2Se3
1.0
-3.0100 -1.9531 1.3953
3.8829 -6.9407 -1.3390
3.9130 3.0447 7.3920
Er Te C Se
6 1 2 3
Direct
0.3213 0.8611 0.6426 Er
0.6800 0.5620 0.3601 Er
0.6787 0.1389 0.3574 Er
0.0315 0.2822 0.0630 Er
0.9685 0.7178 0.9370 Er
0.3200 0.4380 0.6399 Er
0.5000 0.0000 0.0000 Te
0.8273 0.6586 0.6545 C
0.1727 0.3414 0.3455 C
0.5000 0.5000 0.0000 Se
0.8410 0.1647 0.6821 Se
0.1590 0.8353 0.3179 Se
```

Results
Spin magnetization, μB per formula unit: 0.0
Uncorrected formation energy, eV per atom: -1.27
V, Å³ per atom: 21.90
Energy, eV for the cell shown: -74.65

---

Below is a relaxed structure of HoScI6, with properties calculated at the GGA-PBE level.

```
HoScI6
1.0
-0.3718 -7.1849 2.0416
5.5904 -3.0735 3.9022
-1.2755 -1.6379 7.7057
Ho Sc I
1 1 6
Direct
0.5000 0.5000 0.5000 Ho
0.0000 0.0000 0.0000 Sc
0.0890 0.3988 0.7549 I
0.7573 0.0890 0.7549 I
0.6012 0.2427 0.2451 I
0.2427 0.9110 0.2451 I
0.9110 0.6012 0.2451 I
0.3988 0.7573 0.7549 I
```

Results
Distance to the lowest polymorph of the same formula, eV/atom: 0.027
Spin magnetization, μB per formula unit: 0.0
Uncorrected formation energy, eV per atom: -1.23
V, Å³ per atom: 40.63
Energy, eV for the cell shown: -30.03

---

Below is a relaxed structure of Li2ErPd3, with properties calculated at the GGA-PBE level.

```
Li2ErPd3
1.0
-1.2156 4.2484 -0.7524
-3.0673 -3.0215 1.2471
0.9748 1.2323 5.3831
Li Er Pd
2 1 3
Direct
0.6667 0.3333 0.3365 Li
0.3333 0.6667 0.6635 Li
0.0000 0.0000 0.0000 Er
0.0000 0.0000 0.5000 Pd
0.6667 0.3333 0.7958 Pd
0.3333 0.6667 0.2042 Pd
```

Results
Distance to the lowest polymorph of the same formula, eV/atom: 0.009
Energy relative to the elements, eV per atom: -0.63
Spin magnetization, μB per formula unit: 0.0
V, Å³ per atom: 16.26
Energy, eV for the cell shown: -27.76

---

Repeat the twelfth record exactly.
Below is a relaxed structure of Li2ErPd3, with properties calculated at the GGA-PBE level.

```
Li2ErPd3
1.0
-1.2156 4.2484 -0.7524
-3.0673 -3.0215 1.2471
0.9748 1.2323 5.3831
Li Er Pd
2 1 3
Direct
0.6667 0.3333 0.3365 Li
0.3333 0.6667 0.6635 Li
0.0000 0.0000 0.0000 Er
0.0000 0.0000 0.5000 Pd
0.6667 0.3333 0.7958 Pd
0.3333 0.6667 0.2042 Pd
```

Results
Distance to the lowest polymorph of the same formula, eV/atom: 0.009
Energy relative to the elements, eV per atom: -0.63
Spin magnetization, μB per formula unit: 0.0
V, Å³ per atom: 16.26
Energy, eV for the cell shown: -27.76